This record from Alexandria describes a relaxed BeCrH2 crystal. The functional is PBE-GGA.

a b c (Å): 3.2698 3.2698 3.2698
angles (deg): 60.00 60.00 60.00
Positions (direct):
Be 0.0000 0.0000 0.0000
Cr 0.5000 0.5000 0.5000
H 0.2500 0.2500 0.2500
H 0.7500 0.7500 0.7500

Summary:
- E (eV per atom) = -4.636

This record from Alexandria describes a relaxed NaSrAg2 crystal. The functional is PBE-GGA.

a b c (Å): 5.2960 5.2960 3.9252
angles (deg): 90.00 90.00 90.00
Positions (direct):
Na 0.0000 0.0000 0.0000
Sr 0.5000 0.5000 0.0000
Ag 0.0000 0.5000 0.5000
Ag 0.5000 0.0000 0.5000

Summary:
- E (eV per atom) = -2.288
- energy of formation (eV/atom) = -0.11